Record 1
## ZrTi2Sn2 (GGA-PBE)

Data for a relaxed structure of ZrTi2Sn2.

## Properties
- total energy (eV/atom) = -6.64
- formation energy (eV per atom) = -0.173
- volume (Å³ per atom) = 20.45

Cell lengths 8.123, 8.123, 3.099 Å; angles 90.00, 90.00, 90.00 degrees
Atoms (fractional coordinates):
Ti: 0.883 0.617 0.000
Ti: 0.117 0.383 0.000
Ti: 0.617 0.117 0.000
Ti: 0.383 0.883 0.000
Zr: 0.500 0.500 0.000
Zr: 0.000 0.000 0.000
Sn: 0.179 0.679 0.500
Sn: 0.679 0.821 0.500
Sn: 0.821 0.321 0.500
Sn: 0.321 0.179 0.500

=====

Record 2
## PmTmCrN3 (GGA-PBE)

Data for a relaxed structure of PmTmCrN3.

## Properties
- total energy (eV/atom) = -8.44
- formation energy without anion corrections (meV per atom) = -1139
- volume (Å³ per atom) = 14.97

Cell lengths 3.395, 7.289, 7.354 Å; angles 99.30, 90.00, 90.00 degrees
Atoms (fractional coordinates):
N: 0.750 0.167 0.522
N: 0.250 0.833 0.478
N: 0.250 0.591 0.852
N: 0.750 0.878 0.151
N: 0.750 0.409 0.148
N: 0.250 0.122 0.849
Cr: 0.250 0.082 0.599
Cr: 0.750 0.918 0.401
Pm: 0.250 0.180 0.182
Pm: 0.750 0.820 0.818
Tm: 0.250 0.636 0.165
Tm: 0.750 0.364 0.835

=====

Record 3
## HgSb (GGA-PBE)

Data for a relaxed structure of HgSb.

## Properties
- total energy (eV/atom) = -1.94
- formation energy without anion corrections (meV per atom) = 273
- volume (Å³ per atom) = 26.31

Cell lengths 3.747, 3.747, 3.747 Å; angles 90.00, 90.00, 90.00 degrees
Atoms (fractional coordinates):
Sb: 0.500 0.500 0.500
Hg: 0.000 0.000 0.000

=====

Record 4
## TlNiMo (GGA-PBE)

Data for a relaxed structure of TlNiMo.

## Properties
- total energy (eV/atom) = -5.67
- formation energy (eV per atom) = 0.661
- volume (Å³ per atom) = 16.56

Cell lengths 4.466, 4.466, 2.876 Å; angles 90.00, 90.00, 120.00 degrees
Atoms (fractional coordinates):
Tl: 0.333 0.667 0.505
Ni: 0.667 0.333 0.492
Mo: 0.000 0.000 0.003

=====

Record 5
## ScZnTcW2 (GGA-PBE)

Data for a relaxed structure of ScZnTcW2.

## Properties
- total energy (eV/atom) = -7.28
- formation energy (eV per atom) = 1.495
- volume (Å³ per atom) = 19.31

Cell lengths 4.600, 4.562, 4.600 Å; angles 90.00, 90.00, 90.00 degrees
Atoms (fractional coordinates):
Zn: 0.000 0.000 0.000
W: 0.500 0.000 0.000
W: 0.000 0.000 0.500
Tc: 0.000 0.500 0.000
Sc: 0.500 0.500 0.500

=====

Record 6
## Fe3Tc2 (GGA-PBE)

Data for a relaxed structure of Fe3Tc2.

## Properties
- total energy (eV/atom) = -9.04
- formation energy (eV per atom) = 0.187
- volume (Å³ per atom) = 12.67

Cell lengths 10.624, 10.624, 10.624 Å; angles 14.26, 14.26, 14.26 degrees
Atoms (fractional coordinates):
Fe: 0.198 0.198 0.198
Fe: 0.000 0.000 0.000
Fe: 0.802 0.802 0.802
Tc: 0.401 0.401 0.401
Tc: 0.599 0.599 0.599

=====

Record 7
## Ta3W (GGA-PBE)

Data for a relaxed structure of Ta3W.

## Properties
- total energy (eV/atom) = -11.99
- formation energy (eV per atom) = 0.141
- volume (Å³ per atom) = 17.97

Cell lengths 5.556, 9.360, 5.530 Å; angles 90.00, 90.00, 90.00 degrees
Atoms (fractional coordinates):
Ta: 0.251 0.003 0.420
Ta: 0.506 0.750 0.255
Ta: 0.251 0.497 0.420
Ta: 0.494 0.250 0.745
Ta: 0.006 0.750 0.245
Ta: 0.749 0.997 0.580
Ta: 0.751 0.497 0.080
Ta: 0.249 0.997 0.920
Ta: 0.749 0.503 0.580
Ta: 0.994 0.250 0.755
Ta: 0.249 0.503 0.920
Ta: 0.751 0.003 0.080
W: 0.497 0.750 0.754
W: 0.003 0.250 0.254
W: 0.997 0.750 0.746
W: 0.503 0.250 0.246

=====

Record 8
## PuZrBr2 (GGA-PBE)

Data for a relaxed structure of PuZrBr2.

## Properties
- total energy (eV/atom) = -7.17
- formation energy without anion corrections (meV per atom) = -612
- volume (Å³ per atom) = 25.89

Cell lengths 3.432, 3.432, 10.345 Å; angles 80.45, 80.45, 60.00 degrees
Atoms (fractional coordinates):
Br: 0.101 0.101 0.696
Br: 0.899 0.899 0.304
Zr: 0.500 0.500 0.500
Pu: 0.000 0.000 0.000